[1]
The following is a DFT calculation (PBE) of crystalline BaCu2As at its relaxed geometry.

V, Å³ per atom: 21.44
Magnetization, Bohr magnetons per cell: 0.0
Symmetry: P4mm (99)
Uncorrected energy, eV per cell: -14.63
Formation enthalpy at 0 K, eV/atom: 0.03

Cell and atoms, written as POSCAR:
```
BaCu2As
1.0
3.453 0.000 0.000
0.000 3.453 0.000
0.000 0.000 7.193
Ba Cu As
1 2 1
Direct
0.000 0.000 0.000
0.000 0.000 0.503
0.500 0.500 0.329
0.500 0.500 0.662
```

[2]
The following is a DFT calculation (PBE) of crystalline Hf2ScCo at its relaxed geometry.

Energy relative to the lowest polymorph listed for this composition, eV/atom: 0.451
V, Å³ per atom: 21.23
Magnetization, Bohr magnetons per cell: 0.3
Symmetry: R-3m (166)
Uncorrected energy, eV per cell: -32.39
Formation enthalpy at 0 K, eV/atom: 0.24

Cell and atoms, written as POSCAR:
```
Hf2ScCo
1.0
1.601 0.924 9.564
-1.601 0.924 9.564
0.000 -1.849 9.564
Hf Sc Co
2 1 1
Direct
0.106 0.106 0.106
0.894 0.894 0.894
0.000 0.000 0.000
0.500 0.500 0.500
```

[3]
The following is a DFT calculation (PBE) of crystalline MnCu2Ag at its relaxed geometry.

Energy relative to the lowest polymorph listed for this composition, eV/atom: 0.009
V, Å³ per atom: 14.14
Magnetization, Bohr magnetons per cell: 4.0
Symmetry: I4/mmm (139)
Uncorrected energy, eV per cell: -19.59
Formation enthalpy at 0 K, eV/atom: 0.16

Cell and atoms, written as POSCAR:
```
MnCu2Ag
1.0
-1.936 1.936 3.773
1.936 -1.936 3.773
1.936 1.936 -3.773
Mn Cu Ag
1 2 1
Direct
0.000 0.000 0.000
0.250 0.750 0.500
0.750 0.250 0.500
0.500 0.500 0.000
```

[4]
The following is a DFT calculation (PBE) of crystalline Cr2SiSb at its relaxed geometry.

Energy relative to the lowest polymorph listed for this composition, eV/atom: 0.064
V, Å³ per atom: 15.20
Magnetization, Bohr magnetons per cell: 0.2
Symmetry: Cm (8)
Energy relative to the elements, uncorrected, meV/atom: 224
Uncorrected energy, eV per cell: -27.89

Cell and atoms, written as POSCAR:
```
Cr2SiSb
1.0
4.470 -1.525 0.000
4.470 1.525 0.000
-1.289 0.000 4.459
Cr Si Sb
2 1 1
Direct
0.000 0.000 0.000
0.248 0.248 0.666
0.515 0.515 0.559
0.751 0.751 0.182
```

[5]
The following is a DFT calculation (PBE) of crystalline NdSiPd at its relaxed geometry.

V, Å³ per atom: 20.31
Magnetization, Bohr magnetons per cell: 0.0
Symmetry: Imm2 (44)
Energy relative to the elements, uncorrected, meV/atom: -911
Uncorrected energy, eV per cell: -36.24

Cell and atoms, written as POSCAR:
```
NdSiPd
1.0
-2.214 3.642 3.779
2.214 -3.642 3.779
2.214 3.642 -3.779
Nd Si Pd
2 2 2
Direct
0.000 0.000 0.000
0.586 0.086 0.500
0.194 0.378 0.816
0.561 0.378 0.184
0.421 0.710 0.711
0.999 0.710 0.289
```

[6]
The following is a DFT calculation (PBE) of crystalline K3P5I12 at its relaxed geometry.

V, Å³ per atom: 44.24
Magnetization, Bohr magnetons per cell: 0.0
Symmetry: Ia-3d (230)
Energy relative to the elements, uncorrected, meV/atom: -147
Uncorrected energy, eV per cell: -207.53

Cell and atoms, written as POSCAR:
```
K3P5I12
1.0
-9.600 9.600 9.600
9.600 -9.600 9.600
9.600 9.600 -9.600
K P I
12 20 48
Direct
0.125 0.250 0.375
0.125 0.375 0.750
0.250 0.375 0.125
0.250 0.875 0.625
0.375 0.125 0.250
0.375 0.750 0.125
0.625 0.250 0.875
0.625 0.875 0.750
0.750 0.125 0.375
0.750 0.625 0.875
0.875 0.625 0.250
0.875 0.750 0.625
0.000 0.000 0.000
0.000 0.000 0.500
0.000 0.500 0.000
0.000 0.500 0.500
0.125 0.750 0.875
0.125 0.875 0.250
0.250 0.125 0.875
0.250 0.625 0.375
0.375 0.250 0.625
0.375 0.625 0.750
0.500 0.000 0.000
0.500 0.000 0.500
0.500 0.500 0.000
0.500 0.500 0.500
0.625 0.375 0.250
0.625 0.750 0.375
0.750 0.375 0.625
0.750 0.875 0.125
0.875 0.125 0.750
0.875 0.250 0.125
0.008 0.683 0.109
0.008 0.825 0.899
0.074 0.675 0.683
0.074 0.899 0.391
0.101 0.609 0.926
0.101 0.992 0.175
0.109 0.008 0.683
0.109 0.601 0.426
0.175 0.101 0.992
0.175 0.574 0.183
0.183 0.175 0.574
0.183 0.508 0.609
0.317 0.891 0.992
0.317 0.926 0.325
0.325 0.317 0.926
0.325 0.508 0.399
0.391 0.074 0.899
0.391 0.817 0.492
0.399 0.325 0.508
0.399 0.574 0.891
0.426 0.109 0.601
0.426 0.817 0.825
0.492 0.391 0.817
0.492 0.601 0.675
0.508 0.399 0.325
0.508 0.609 0.183
0.574 0.183 0.175
0.574 0.891 0.399
0.601 0.426 0.109
0.601 0.675 0.492
0.609 0.183 0.508
0.609 0.926 0.101
0.675 0.492 0.601
0.675 0.683 0.074
0.683 0.074 0.675
0.683 0.109 0.008
0.817 0.492 0.391
0.817 0.825 0.426
0.825 0.426 0.817
0.825 0.899 0.008
0.891 0.399 0.574
0.891 0.992 0.317
0.899 0.008 0.825
0.899 0.391 0.074
0.926 0.101 0.609
0.926 0.325 0.317
0.992 0.175 0.101
0.992 0.317 0.891
```

Question: What is the V in the third record?
Answer: 14.14 Å³ per atom